Record 1
VASP calculation (meta-GGA SCAN) on a crystal of Rb4Zr3Te16 relaxed with PBEsol.

```
Rb4Zr3Te16
1.0
-3.5110 -7.7434 7.0736
-0.8297 -2.6698 -10.7008
14.6211 -2.8915 1.3803
Rb Te Zr
8 32 6
Cartesian
6.5818 -7.6910 5.9571
9.0528 -10.7609 5.4535
3.2646 -8.2288 1.0695
-1.0943 -5.1428 1.2928
3.6985 -5.6137 -8.2040
11.3746 -8.1619 -3.5397
1.2275 -2.5438 -7.7004
7.0157 -5.0758 -3.3164
1.7847 -10.0389 -3.3216
-2.1018 -6.6399 4.6805
4.1675 -7.1106 -5.0211
7.0921 -4.5220 -7.1138
-0.1546 -5.0861 -2.7327
7.9905 -9.0214 -2.1855
5.5621 -10.3682 -1.1391
3.1882 -8.7826 4.8669
-0.2086 -2.8768 -4.4727
8.8971 -11.8596 -1.3178
10.4889 -10.4279 2.2258
10.4349 -8.2186 0.4858
0.1761 -5.8818 -6.3999
-1.4803 -8.4151 -3.6067
11.7606 -4.8896 1.3598
4.0909 -3.5227 -5.1360
1.9022 -5.8363 3.8871
0.4571 -7.9974 -1.3981
4.7182 -2.9365 -1.1078
8.3781 -7.4684 -6.1340
10.6516 -4.5595 -4.9608
-0.3713 -8.7452 2.7139
9.8232 -5.3073 -0.8488
2.2898 -4.2833 -0.0615
3.4680 -6.1227 -2.4821
12.3821 -6.6648 -6.9274
6.8123 -7.1820 0.2352
8.4956 -3.2658 1.0747
6.1894 -9.7820 2.8891
10.1042 -7.4229 4.1530
1.3833 -1.4450 -0.9291
6.1128 -6.1941 2.7742
2.2569 -3.4349 -2.9115
8.0234 -9.8698 0.6646
8.9468 -6.0550 1.8928
9.8410 -5.3968 -7.7093
0.4393 -7.9078 5.4624
1.3335 -7.2497 -4.1397
```

Properties
ΔE_f (raw) ... -814.7 meV per atom



Record 2
VASP calculation (meta-GGA SCAN) on a crystal of Rb2ZrTe3 relaxed with PBEsol.

```
Rb2ZrTe3
1.0
6.7566 -0.1200 0.0000
-3.1409 9.5056 0.0000
0.0000 0.0000 14.0723
Rb Zr Te
8 4 12
Cartesian
3.3434 8.5547 12.1269
0.0994 3.3963 6.3685
0.2723 0.8308 1.9453
0.1380 6.0492 13.4046
3.4778 3.3363 0.6676
-0.0349 8.6147 8.9815
3.6507 0.7708 5.0908
3.5163 5.9892 7.7038
2.1668 6.5614 3.5314
-1.2115 6.6214 3.5047
4.8273 2.7641 10.5675
1.4490 2.8241 10.5409
-0.1296 5.0507 9.7138
3.7454 4.3349 4.3584
3.8365 8.3964 4.9916
0.3670 4.3949 2.6777
3.2487 4.9906 11.3946
3.1575 0.9291 12.0277
3.7847 6.8165 1.1761
0.4063 6.8765 5.8600
-0.2208 0.9891 9.0807
-0.1689 2.5691 12.8961
0.4582 8.4564 2.0446
3.2094 2.5091 8.2123
```

Properties
ΔE_f (raw) ... -1155.7 meV per atom